A plane-wave DFT calculation with PBEsol was carried out for an optimized crystal structure of Bi3SbP.

As for the formation energy from raw total energies: 1233.8 meV/atom. The space-group type is Pm-3m, No. 221.

Structure (POSCAR):
```
Bi3SbP
1.0
5.702 0.000 0.000
0.000 5.702 0.000
0.000 0.000 5.702
Bi Sb P
3 1 1
Direct
0.000 0.000 0.500 Bi
0.000 0.500 0.000 Bi
0.500 0.000 0.000 Bi
0.000 0.000 0.000 Sb
0.500 0.500 0.500 P
```

A plane-wave DFT calculation with PBEsol was carried out for an optimized crystal structure of BiSb2P.

As for the formation energy from raw total energies: 347.0 meV/atom. The space-group type is I-42d, No. 122.

Structure (POSCAR):
```
BiSb2P
1.0
-2.898 2.898 7.772
2.898 -2.898 7.772
2.898 2.898 -7.772
Bi Sb P
2 4 2
Direct
0.000 0.000 0.000 Bi
0.750 0.250 0.500 Bi
0.190 0.625 0.065 Sb
0.375 0.440 0.565 Sb
0.560 0.125 0.935 Sb
0.875 0.810 0.435 Sb
0.250 0.750 0.500 P
0.500 0.500 0.000 P
```

A plane-wave DFT calculation with PBEsol was carried out for an optimized crystal structure of Bi3PSe.

As for the formation energy from raw total energies: 937.9 meV/atom. The space-group type is Pm-3m, No. 221.

Structure (POSCAR):
```
Bi3PSe
1.0
5.427 0.000 0.000
0.000 5.427 0.000
0.000 0.000 5.427
Bi P Se
3 1 1
Direct
0.000 0.000 0.500 Bi
0.000 0.500 0.000 Bi
0.500 0.000 0.000 Bi
0.500 0.500 0.500 P
0.000 0.000 0.000 Se
```

A plane-wave DFT calculation with PBEsol was carried out for an optimized crystal structure of Bi2PSe.

As for the formation energy from raw total energies: 100.6 meV/atom. The space-group type is I-42d, No. 122.

Structure (POSCAR):
```
Bi2PSe
1.0
-3.799 3.799 3.735
3.799 -3.799 3.735
3.799 3.799 -3.735
Bi P Se
4 2 2
Direct
0.105 0.625 0.980 Bi
0.375 0.355 0.480 Bi
0.645 0.125 0.020 Bi
0.875 0.895 0.520 Bi
0.000 0.000 0.000 P
0.750 0.250 0.500 P
0.250 0.750 0.500 Se
0.500 0.500 0.000 Se
```

A plane-wave DFT calculation with PBEsol was carried out for an optimized crystal structure of SnBiP2.

Its calculated formation energy is 0.34 eV per atom. The space-group type is Fm-3m, No. 225.

Structure (POSCAR):
```
SnBiP2
1.0
0.000 3.465 3.465
3.465 0.000 3.465
3.465 3.465 0.000
Sn Bi P
1 1 2
Direct
0.000 0.000 0.000 Sn
0.500 0.500 0.500 Bi
0.250 0.250 0.250 P
0.750 0.750 0.750 P
```

A plane-wave DFT calculation with PBEsol was carried out for an optimized crystal structure of Sr3BiP.

Its calculated formation energy is -0.92 eV per atom. The space-group type is Pm-3m, No. 221.

Structure (POSCAR):
```
Sr3BiP
1.0
5.698 0.000 0.000
0.000 5.698 0.000
0.000 0.000 5.698
Sr Bi P
3 1 1
Direct
0.000 0.000 0.500 Sr
0.000 0.500 0.000 Sr
0.500 0.000 0.000 Sr
0.500 0.500 0.500 Bi
0.000 0.000 0.000 P
```

A plane-wave DFT calculation with PBEsol was carried out for an optimized crystal structure of SrBiP2.

Its calculated formation energy is -0.15 eV per atom. The space-group type is I-42d, No. 122.

Structure (POSCAR):
```
SrBiP2
1.0
-3.718 3.718 4.210
3.718 -3.718 4.210
3.718 3.718 -4.210
Sr Bi P
2 2 4
Direct
0.000 0.000 0.000 Sr
0.750 0.250 0.500 Sr
0.250 0.750 0.500 Bi
0.500 0.500 0.000 Bi
0.161 0.125 0.536 P
0.375 0.839 0.964 P
0.589 0.625 0.464 P
0.875 0.411 0.036 P
```

A plane-wave DFT calculation with PBEsol was carried out for an optimized crystal structure of TaZnBi2P.

Its calculated formation energy is 1.37 eV per atom. The space-group type is P4/mmm, No. 123.

Structure (POSCAR):
```
TaZnBi2P
1.0
5.137 0.000 0.000
0.000 5.137 0.000
0.000 0.000 4.898
Ta Zn Bi P
1 1 2 1
Direct
0.000 0.000 0.000 Ta
0.000 0.000 0.500 Zn
0.000 0.500 0.500 Bi
0.500 0.000 0.500 Bi
0.500 0.500 0.000 P
```

A plane-wave DFT calculation with PBEsol was carried out for an optimized crystal structure of TcBiP3.

Its calculated formation energy is 0.43 eV per atom. The space-group type is Pm-3m, No. 221.

Structure (POSCAR):
```
TcBiP3
1.0
4.617 0.000 0.000
0.000 4.617 0.000
0.000 0.000 4.617
Tc Bi P
1 1 3
Direct
0.000 0.000 0.000 Tc
0.500 0.500 0.500 Bi
0.000 0.000 0.500 P
0.000 0.500 0.000 P
0.500 0.000 0.000 P
```

A plane-wave DFT calculation with PBEsol was carried out for an optimized crystal structure of Bi2TeP2.

As for the formation energy from raw total energies: 219.4 meV/atom. The space-group type is I4/mmm, No. 139.

Structure (POSCAR):
```
Bi2TeP2
1.0
-1.965 1.965 7.983
1.965 -1.965 7.983
1.965 1.965 -7.983
Bi Te P
2 1 2
Direct
0.114 0.114 0.000 Bi
0.886 0.886 0.000 Bi
0.500 0.500 0.000 Te
0.250 0.750 0.500 P
0.750 0.250 0.500 P
```

A plane-wave DFT calculation with PBEsol was carried out for an optimized crystal structure of Ti2BiP.

Its calculated formation energy is 0.07 eV per atom. The space-group type is I-42d, No. 122.

Structure (POSCAR):
```
Ti2BiP
1.0
-2.926 2.926 5.906
2.926 -2.926 5.906
2.926 2.926 -5.906
Ti Bi P
4 2 2
Direct
0.065 0.625 0.940 Ti
0.375 0.315 0.440 Ti
0.685 0.125 0.060 Ti
0.875 0.935 0.560 Ti
0.250 0.750 0.500 Bi
0.500 0.500 0.000 Bi
0.000 0.000 0.000 P
0.750 0.250 0.500 P
```

A plane-wave DFT calculation with PBEsol was carried out for an optimized crystal structure of TlBi3P.

Its calculated formation energy is 0.38 eV per atom. The space-group type is Pm-3m, No. 221.

Structure (POSCAR):
```
TlBi3P
1.0
5.409 0.000 0.000
0.000 5.409 0.000
0.000 0.000 5.409
Tl Bi P
1 3 1
Direct
0.000 0.000 0.000 Tl
0.000 0.500 0.500 Bi
0.500 0.000 0.500 Bi
0.500 0.500 0.000 Bi
0.500 0.500 0.500 P
```

A plane-wave DFT calculation with PBEsol was carried out for an optimized crystal structure of BiPb.

Its calculated formation energy is 0.02 eV per atom. The space-group type is P-6m2, No. 187.

Structure (POSCAR):
```
BiPb
1.0
3.442 0.000 0.000
-1.721 2.981 0.000
0.000 0.000 5.846
Bi Pb
1 1
Direct
0.000 0.000 0.000 Bi
0.333 0.667 0.500 Pb
```

A plane-wave DFT calculation with PBEsol was carried out for an optimized crystal structure of Bi3Pb.

Its calculated formation energy is 0.06 eV per atom. The space-group type is Fm-3m, No. 225.

Structure (POSCAR):
```
Bi3Pb
1.0
0.000 3.923 3.923
3.923 0.000 3.923
3.923 3.923 0.000
Bi Pb
3 1
Direct
0.000 0.000 0.000 Bi
0.250 0.250 0.250 Bi
0.750 0.750 0.750 Bi
0.500 0.500 0.500 Pb
```

A plane-wave DFT calculation with PBEsol was carried out for an optimized crystal structure of BiPd6Pb.

Its calculated formation energy is -0.28 eV per atom. The space-group type is P4/mmm, No. 123.

Structure (POSCAR):
```
BiPd6Pb
1.0
4.046 0.000 0.000
0.000 4.046 0.000
0.000 0.000 8.091
Bi Pd Pb
1 6 1
Direct
0.000 0.000 0.000 Bi
0.000 0.500 0.251 Pd
0.000 0.500 0.749 Pd
0.500 0.000 0.251 Pd
0.500 0.000 0.749 Pd
0.500 0.500 0.000 Pd
0.500 0.500 0.500 Pd
0.000 0.000 0.500 Pb
```

A plane-wave DFT calculation with PBEsol was carried out for an optimized crystal structure of Bi3PdPb.

Its calculated formation energy is 1.26 eV per atom. The space-group type is Pm-3m, No. 221.

Structure (POSCAR):
```
Bi3PdPb
1.0
5.741 0.000 0.000
0.000 5.741 0.000
0.000 0.000 5.741
Bi Pd Pb
3 1 1
Direct
0.000 0.000 0.500 Bi
0.000 0.500 0.000 Bi
0.500 0.000 0.000 Bi
0.500 0.500 0.500 Pd
0.000 0.000 0.000 Pb
```

A plane-wave DFT calculation with PBEsol was carried out for an optimized crystal structure of Bi3Pd12Pb.

Its calculated formation energy is -0.26 eV per atom. The space-group type is Pmm2, No. 25.

Structure (POSCAR):
```
Bi3Pd12Pb
1.0
5.746 0.000 0.000
0.000 9.380 0.000
0.000 0.000 4.952
Bi Pd Pb
3 12 1
Direct
0.000 0.000 0.000 Bi
0.500 0.251 0.350 Bi
0.500 0.749 0.350 Bi
0.000 0.250 0.353 Pd
0.000 0.750 0.353 Pd
0.248 0.500 0.194 Pd
0.249 0.251 0.851 Pd
0.249 0.749 0.851 Pd
0.250 0.000 0.508 Pd
0.500 0.000 0.993 Pd
0.500 0.500 0.709 Pd
0.750 0.000 0.508 Pd
0.751 0.251 0.851 Pd
0.751 0.749 0.851 Pd
0.752 0.500 0.194 Pd
0.000 0.500 0.698 Pb
```

A plane-wave DFT calculation with PBEsol was carried out for an optimized crystal structure of YBiPtPb2.

Its calculated formation energy is 1.09 eV per atom. The space-group type is P4/mmm, No. 123.

Structure (POSCAR):
```
YBiPtPb2
1.0
5.650 0.000 0.000
0.000 5.650 0.000
0.000 0.000 5.638
Y Bi Pt Pb
1 1 1 2
Direct
0.000 0.000 0.000 Y
0.000 0.000 0.500 Bi
0.500 0.500 0.500 Pt
0.000 0.500 0.000 Pb
0.500 0.000 0.000 Pb
```

A plane-wave DFT calculation with PBEsol was carried out for an optimized crystal structure of RbBi2Pb2.

Its calculated formation energy is -0.10 eV per atom. The space-group type is I4/mmm, No. 139.

Structure (POSCAR):
```
RbBi2Pb2
1.0
-2.670 2.670 6.736
2.670 -2.670 6.736
2.670 2.670 -6.736
Rb Bi Pb
1 2 2
Direct
0.000 0.000 0.000 Rb
0.250 0.750 0.500 Bi
0.750 0.250 0.500 Bi
0.379 0.379 0.000 Pb
0.621 0.621 0.000 Pb
```

A plane-wave DFT calculation with PBEsol was carried out for an optimized crystal structure of ReBi3Pb.

Its calculated formation energy is 0.73 eV per atom. The space-group type is Pm-3m, No. 221.

Structure (POSCAR):
```
ReBi3Pb
1.0
5.312 0.000 0.000
0.000 5.312 0.000
0.000 0.000 5.312
Re Bi Pb
1 3 1
Direct
0.000 0.000 0.000 Re
0.000 0.000 0.500 Bi
0.000 0.500 0.000 Bi
0.500 0.000 0.000 Bi
0.500 0.500 0.500 Pb
```

| no. | energy (eV/atom) |
| --- | --- |
| 1 | -3.407 |
| 2 | -4.451 |
| 3 | -3.562 |
| 4 | -4.452 |
| 5 | -4.693 |
| 6 | -4.035 |
| 7 | -4.581 |
| 8 | -4.332 |
| 9 | -6.154 |
| 10 | -4.517 |
| 11 | -6.613 |
| 12 | -3.879 |
| 13 | -4.122 |
| 14 | -4.152 |
| 15 | -5.781 |
| 16 | -3.300 |
| 17 | -5.781 |
| 18 | -4.121 |
| 19 | -3.623 |
| 20 | -5.306 |